Material: FePt3Se
Method: DFT, PBE-GGA
State: relaxed

Results
Calculated density (g cm⁻³): 11.8
E_form (uncorrected) (meV/atom): 845
Total magnetization (μB per cell): 3.65
Polymorph energy (0 for the lowest one) (meV/atom): 0

The structure in CIF format:
```
data_FePt3Se
_chemical_formula_sum 'Fe1 Pt3 Se1'
_symmetry_space_group_name_H-M 'P m -3 m'
_symmetry_Int_Tables_number 221
_symmetry_space_group_name_Hall '-P 4 2 3'
_cell_length_a 4.667
_cell_length_b 4.667
_cell_length_c 4.667
_cell_angle_alpha 90.00
_cell_angle_beta 90.00
_cell_angle_gamma 90.00
loop_
_atom_site_label
_atom_site_type_symbol
_atom_site_fract_x
_atom_site_fract_y
_atom_site_fract_z
Fe1 Fe 0.000 0.000 0.000
Pt1 Pt 0.000 0.500 0.500
Se1 Se 0.500 0.500 0.500
```